The following is a DFT calculation (GGA-PBE) of MgSc2Co after structural relaxation.

Formation energy from the elements, eV per atom: -0.043
Magnetization, μB per formula unit: 0.93
Final energy, eV per cell: -21.54

abc: 3.167 3.167 7.745
angles: 90.00 90.00 90.00
Atoms (fractional coordinates):
1 Co 0.000 0.000 0.492
2 Mg 0.500 0.500 0.696
3 Sc 0.000 0.000 0.996
4 Sc 0.500 0.500 0.316